# 1
Nb2P2W: optimized geometry, PBE-GGA.

Results
Total magnetization = 0.00 μB/f.u.
Energy relative to the elements = -2.63 eV/f.u.
SG = P4/mbm
Total DFT energy (no corrections) = -93.1 eV for the cell shown
E above lowest polymorph = 0.0 kJ per mole of atoms

```
Nb2P2W
1.0
6.6398 0.0000 0.0000
0.0000 6.6398 0.0000
0.0000 0.0000 3.4292
Nb P W
4 4 2
Cartesian
1.0302 2.2897 0.0000
2.2897 5.6097 0.0000
4.3501 1.0302 0.0000
5.6097 4.3501 0.0000
0.9694 4.2893 1.7146
2.3505 0.9694 1.7146
4.2893 5.6704 1.7146
5.6704 2.3505 1.7146
0.0000 0.0000 1.7146
3.3199 3.3199 1.7146
```


# 2
NbP3W: optimized geometry, PBE-GGA.

Results
Total magnetization = 0.00 μB/f.u.
Energy relative to the elements = 7.09 eV/f.u.
SG = Pm-3m
Total DFT energy (no corrections) = -32.2 eV for the cell shown
E above lowest polymorph = 55.6 kJ per mole of atoms

```
NbP3W
1.0
4.6942 0.0000 0.0000
0.0000 4.6942 0.0000
0.0000 0.0000 4.6942
Nb P W
1 3 1
Cartesian
0.0000 0.0000 0.0000
0.0000 0.0000 2.3471
0.0000 2.3471 0.0000
2.3471 0.0000 0.0000
2.3471 2.3471 2.3471
```


# 3
NbP3W: optimized geometry, PBE-GGA.

Results
Total magnetization = 2.76 μB/f.u.
Energy relative to the elements = 4.20 eV/f.u.
SG = Pm-3m
Total DFT energy (no corrections) = -35.0 eV for the cell shown
E above lowest polymorph = 0.0 kJ per mole of atoms

```
NbP3W
1.0
4.6679 0.0000 0.0000
0.0000 4.6679 0.0000
0.0000 0.0000 4.6679
Nb P W
1 3 1
Cartesian
0.0000 0.0000 0.0000
0.0000 2.3340 2.3340
2.3340 0.0000 2.3340
2.3340 2.3340 0.0000
2.3340 2.3340 2.3340
```


# 4
NbP2W: optimized geometry, PBE-GGA.

Results
Total magnetization = 0.00 μB/f.u.
Energy relative to the elements = -0.43 eV/f.u.
SG = R-3m
Total DFT energy (no corrections) = -34.3 eV for the cell shown
E above lowest polymorph = 32.9 kJ per mole of atoms

```
NbP2W
1.0
1.7996 1.0390 5.6554
-1.7996 1.0390 5.6554
0.0000 -2.0781 5.6554
Nb P W
1 2 1
Cartesian
0.0000 0.0000 0.0000
0.0000 0.0000 4.1862
0.0000 0.0000 12.7800
0.0000 0.0000 8.4831
```


# 5
NbP2W: optimized geometry, PBE-GGA.

Results
Total magnetization = 0.00 μB/f.u.
Energy relative to the elements = -1.80 eV/f.u.
SG = R3m
Total DFT energy (no corrections) = -35.6 eV for the cell shown
E above lowest polymorph = 0.0 kJ per mole of atoms

```
NbP2W
1.0
1.6492 0.9522 6.6030
-1.6492 0.9522 6.6030
0.0000 -1.9043 6.6030
Nb P W
1 2 1
Cartesian
0.0000 0.0000 0.0000
0.0000 0.0000 8.2680
0.0000 0.0000 11.4266
0.0000 0.0000 3.2080
```


# 6
Nb2P2W: optimized geometry, PBE-GGA.

Results
Total magnetization = 0.00 μB/f.u.
Energy relative to the elements = -0.80 eV/f.u.
SG = I4/mmm
Total DFT energy (no corrections) = -44.7 eV for the cell shown
E above lowest polymorph = 35.3 kJ per mole of atoms

```
Nb2P2W
1.0
-1.6744 1.6744 7.2003
1.6744 -1.6744 7.2003
1.6744 1.6744 -7.2003
Nb P W
2 2 1
Cartesian
0.0000 0.0000 1.5916
0.0000 0.0000 12.8089
1.6744 0.0000 3.6001
0.0000 1.6744 3.6001
0.0000 0.0000 7.2003
```


# 7
NbP2W: optimized geometry, PBE-GGA.

Results
Total magnetization = 0.00 μB/f.u.
Energy relative to the elements = -1.35 eV/f.u.
SG = Fm-3m
Total DFT energy (no corrections) = -35.2 eV for the cell shown
E above lowest polymorph = 10.9 kJ per mole of atoms

```
NbP2W
1.0
0.0000 3.0671 3.0671
3.0671 0.0000 3.0671
3.0671 3.0671 0.0000
Nb P W
1 2 1
Cartesian
0.0000 0.0000 0.0000
1.5335 1.5335 1.5335
4.6006 4.6006 4.6006
3.0671 3.0671 3.0671
```


# 8
Nb2P2W: optimized geometry, PBE-GGA.

Results
Total magnetization = 0.00 μB/f.u.
Energy relative to the elements = 0.14 eV/f.u.
SG = P4/mbm
Total DFT energy (no corrections) = -87.5 eV for the cell shown
E above lowest polymorph = 53.4 kJ per mole of atoms

```
Nb2P2W
1.0
7.1800 0.0000 0.0000
0.0000 7.1800 0.0000
0.0000 0.0000 3.1120
Nb P W
4 4 2
Cartesian
1.0461 2.5439 0.0000
2.5439 6.1339 0.0000
4.6361 1.0461 0.0000
6.1339 4.6361 0.0000
1.0913 4.6813 1.5560
2.4987 1.0913 1.5560
4.6813 6.0887 1.5560
6.0887 2.4987 1.5560
0.0000 0.0000 0.0000
3.5900 3.5900 0.0000
```


# 9
NbP2W: optimized geometry, PBE-GGA.

Results
Total magnetization = 0.00 μB/f.u.
Energy relative to the elements = 1.01 eV/f.u.
SG = I-42d
Total DFT energy (no corrections) = -65.7 eV for the cell shown
E above lowest polymorph = 67.8 kJ per mole of atoms

```
NbP2W
1.0
-2.7361 2.7361 5.5823
2.7361 -2.7361 5.5823
2.7361 2.7361 -5.5823
Nb P W
2 4 2
Cartesian
0.0000 0.0000 0.0000
0.0000 2.7361 2.7912
1.3681 -1.2778 4.1868
1.4583 1.3681 1.3956
1.3681 4.0139 -1.3956
1.2778 1.3681 6.9779
2.7361 0.0000 2.7912
0.0000 0.0000 5.5823
```


# 10
YNb2P: optimized geometry, PBE-GGA.

Results
Total magnetization = 0.00 μB/f.u.
Energy relative to the elements = -0.04 eV/f.u.
SG = I-42d
Total DFT energy (no corrections) = -64.1 eV for the cell shown

```
YNb2P
1.0
-1.9904 1.9904 10.1863
1.9904 -1.9904 10.1863
1.9904 1.9904 -10.1863
Y Nb P
2 4 2
Cartesian
0.0000 0.0000 0.0000
0.0000 1.9904 5.0932
0.9952 1.0802 -2.5466
2.9007 0.9952 2.5466
0.9952 0.9103 7.6397
-0.9103 0.9952 12.7329
1.9904 0.0000 5.0932
0.0000 0.0000 10.1863
```


# 11
YNbP2: optimized geometry, PBE-GGA.

Results
Total magnetization = 0.49 μB/f.u.
Energy relative to the elements = -2.69 eV/f.u.
SG = Fm-3m
Total DFT energy (no corrections) = -30.0 eV for the cell shown
E above lowest polymorph = 43.1 kJ per mole of atoms

```
YNbP2
1.0
0.0000 3.2859 3.2859
3.2859 0.0000 3.2859
3.2859 3.2859 0.0000
Y Nb P
1 1 2
Cartesian
0.0000 0.0000 0.0000
3.2859 3.2859 3.2859
1.6430 1.6430 1.6430
4.9289 4.9289 4.9289
```


# 12
YNbP2: optimized geometry, PBE-GGA.

Results
Total magnetization = 0.00 μB/f.u.
Energy relative to the elements = -4.48 eV/f.u.
SG = R-3m
Total DFT energy (no corrections) = -31.8 eV for the cell shown
E above lowest polymorph = 0.0 kJ per mole of atoms

```
YNbP2
1.0
1.8759 1.0831 6.2535
-1.8759 1.0831 6.2535
0.0000 -2.1661 6.2535
Y Nb P
1 1 2
Cartesian
0.0000 0.0000 0.0000
0.0000 0.0000 9.3802
0.0000 0.0000 4.5354
0.0000 0.0000 14.2251
```


# 13
YNbP3: optimized geometry, PBE-GGA.

Results
Total magnetization = 0.00 μB/f.u.
Energy relative to the elements = -1.44 eV/f.u.
SG = Pm-3m
Total DFT energy (no corrections) = -34.2 eV for the cell shown
E above lowest polymorph = 0.0 kJ per mole of atoms

```
YNbP3
1.0
4.7973 0.0000 0.0000
0.0000 4.7973 0.0000
0.0000 0.0000 4.7973
Y Nb P
1 1 3
Cartesian
0.0000 0.0000 0.0000
2.3987 2.3987 2.3987
0.0000 2.3987 2.3987
2.3987 0.0000 2.3987
2.3987 2.3987 0.0000
```